[1]
Density functional theory data (GGA-PBE) for crystalline FeIr3Os at its relaxed geometry.

Values from the calculation:
The energy is -8.87 eV/atom. For the energy relative to the elements, the calculation gives 0.39 eV/atom.

a = 2.703 Å, b = 8.640 Å, c = 6.942 Å
α = 90.00°, β = 101.20°, γ = 90.00°
Space group P2_1/m (No. 11)
One atom of each set of equivalent atoms:
1 Fe 0.054 0.250 0.108 [2 per cell]
2 Ir 0.165 0.000 0.329 [4 per cell]
3 Ir 0.402 0.250 0.804 [2 per cell]
4 Os 0.282 0.750 0.564 [2 per cell]

---

[2]
Density functional theory data (GGA-PBE) for crystalline Fe2Ir7Os2 at its relaxed geometry.

Values from the calculation:
The energy is -8.86 eV/atom. For the energy relative to the elements, the calculation gives 0.36 eV/atom.

a = 9.197 Å, b = 7.884 Å, c = 4.717 Å
α = 90.00°, β = 99.51°, γ = 90.00°
Space group C2/m (No. 12)
One atom of each set of equivalent atoms:
1 Fe 0.000 0.181 0.000 [4 per cell]
2 Ir 0.000 0.000 0.500 [2 per cell]
3 Ir 0.040 0.500 0.267 [4 per cell]
4 Ir 0.225 0.178 0.744 [8 per cell]
5 Os 0.235 0.000 0.246 [4 per cell]

---

[3]
Density functional theory data (GGA-PBE) for crystalline FeIr2Os2 at its relaxed geometry.

Values from the calculation:
The energy is -9.37 eV/atom. For the energy relative to the elements, the calculation gives 0.36 eV/atom.

a = 8.702 Å, b = 4.107 Å, c = 8.751 Å
α = 90.00°, β = 104.12°, γ = 90.00°
Space group C2/m (No. 12)
One atom of each set of equivalent atoms:
1 Fe 0.200 0.000 0.198 [4 per cell]
2 Ir 0.013 0.500 0.849 [4 per cell]
3 Ir 0.222 0.500 0.399 [4 per cell]
4 Os 0.013 0.000 0.361 [4 per cell]
5 Os 0.217 0.000 0.906 [4 per cell]

---

[4]
Density functional theory data (GGA-PBE) for crystalline FeIr2Os at its relaxed geometry.

Values from the calculation:
The energy is -8.97 eV/atom. For the energy relative to the elements, the calculation gives 0.38 eV/atom.

a = 4.1363 Å, b = 4.1363 Å, c = 11.9858 Å
α = 90.00°, β = 90.00°, γ = 120.00°
Space group R3m (No. 160, hexagonal axes)
One atom of each set of equivalent atoms:
1 Fe 0.0000 0.0000 0.0000 [3 per cell]
2 Ir 0.0000 0.0000 0.3463 [3 per cell]
3 Ir 0.0000 0.0000 0.5665 [3 per cell]
4 Os 0.0000 0.0000 0.7836 [3 per cell]

---

[5]
Density functional theory data (GGA-PBE) for crystalline FeIr2Os at its relaxed geometry.

Values from the calculation:
The energy is -9.34 eV/atom. For the energy relative to the elements, the calculation gives 0.02 eV/atom.

a = 8.921 Å, b = 2.713 Å, c = 4.672 Å
α = 90.00°, β = 100.45°, γ = 90.00°
Space group Cm (No. 8)
One atom of each set of equivalent atoms:
1 Fe 0.000 0.000 0.000 [2 per cell]
2 Ir 0.253 0.000 0.766 [2 per cell]
3 Ir 0.499 0.000 0.490 [2 per cell]
4 Os 0.249 0.500 0.254 [2 per cell]

---

[6]
Density functional theory data (GGA-PBE) for crystalline Fe2Ir4Os at its relaxed geometry.

Values from the calculation:
The energy is -8.71 eV/atom. For the energy relative to the elements, the calculation gives 0.37 eV/atom.

a = 5.134 Å, b = 9.661 Å, c = 8.662 Å
α = 90.00°, β = 90.00°, γ = 90.00°
Space group Cccm (No. 66)
One atom of each set of equivalent atoms:
1 Fe 0.113 0.102 0.000 [8 per cell]
2 Ir 0.107 0.362 0.500 [8 per cell]
3 Ir 0.250 0.250 0.217 [8 per cell]
4 Os 0.000 0.500 0.250 [4 per cell]

---

[7]
Density functional theory data (GGA-PBE) for crystalline Fe2Ir5Os at its relaxed geometry.

Values from the calculation:
The energy is -9.09 eV/atom. For the energy relative to the elements, the calculation gives -0.03 eV/atom.

a = 5.458 Å, b = 8.654 Å, c = 9.427 Å
α = 90.00°, β = 90.00°, γ = 90.00°
Space group Fmm2 (No. 42)
One atom of each set of equivalent atoms:
1 Fe 0.000 0.248 0.000 [8 per cell]
2 Ir 0.000 0.000 0.338 [4 per cell]
3 Ir 0.249 0.000 0.585 [8 per cell]
4 Ir 0.250 0.250 0.254 [8 per cell]
5 Os 0.000 0.000 0.839 [4 per cell]

---

[8]
Density functional theory data (GGA-PBE) for crystalline FeIr4Os at its relaxed geometry.

Values from the calculation:
The energy is -9.18 eV/atom. For the energy relative to the elements, the calculation gives 0.01 eV/atom.

a = 2.734 Å, b = 14.084 Å, c = 8.781 Å
α = 90.00°, β = 90.00°, γ = 90.00°
Space group Cmc2_1 (No. 36)
One atom of each set of equivalent atoms:
1 Fe 0.000 0.166 0.000 [4 per cell]
2 Ir 0.000 0.057 0.244 [4 per cell]
3 Ir 0.000 0.173 0.497 [4 per cell]
4 Ir 0.000 0.385 0.254 [4 per cell]
5 Ir 0.000 0.499 0.497 [4 per cell]
6 Os 0.000 0.278 0.747 [4 per cell]